Entry i
Mg6NiBiO8 GGA+U optimized geometry; mass density = 5.108 Mg/m³; size of the total moment = 1.0 μB per cell; DOS(E_F) = 0.035 states/eV per atom
1.0
4.478 0.000 0.000
0.000 4.478 0.000
0.000 0.000 8.780
Mg Ni Bi O
6 1 1 8
Cartesian
0.000 0.000 0.000
0.000 2.239 2.096
0.000 2.239 6.684
2.239 0.000 2.096
2.239 0.000 6.684
2.239 2.239 0.000
0.000 0.000 4.390
2.239 2.239 4.390
0.000 0.000 2.075
0.000 0.000 6.704
0.000 2.239 0.000
0.000 2.239 4.390
2.239 0.000 0.000
2.239 0.000 4.390
2.239 2.239 2.026
2.239 2.239 6.754

Entry ii
Mg6NiBiO8 GGA+U optimized geometry; mass density = 5.024 Mg/m³; size of the total moment = 1.1 μB per cell; DOS(E_F) = 0.052 states/eV per atom
1.0
4.485 0.000 0.000
0.000 4.485 0.000
0.000 0.000 8.897
Mg Ni Bi O
6 1 1 8
Cartesian
0.000 0.000 0.000
0.000 0.000 4.448
0.000 2.243 1.997
0.000 2.243 6.900
2.243 0.000 1.997
2.243 0.000 6.900
2.243 2.243 0.000
2.243 2.243 4.448
0.000 0.000 2.238
0.000 0.000 6.659
0.000 2.243 0.000
0.000 2.243 4.448
2.243 0.000 0.000
2.243 0.000 4.448
2.243 2.243 2.128
2.243 2.243 6.769

Which of them is the least stable? Correct choice: entry ii.